Computed, not measured: a geometry-optimized LiMnCu3 structure at the PBE-GGA level of DFT.

Output
As for the density of states at the Fermi level: 2.15 states/eV/f.u. The distance to the lowest polymorph of the same formula is 0.0000 eV per atom. The value obtained for the density is 4.29 g/cm3. As for the crystal system: cubic. The value obtained for the formation energy is 800 meV per atom. For the size of the total moment, the calculation gives 4.13 μB/f.u.

Structure (CIF):
```
data_LiMnCu3
_space_group_name_H-M_alt 'P m -3 m'
_space_group_IT_number 221
_space_group_name_Hall '-P 4 2 3'
_cell_length_a 4.607
_cell_length_b 4.607
_cell_length_c 4.607
_cell_angle_alpha 90.00
_cell_angle_beta 90.00
_cell_angle_gamma 90.00
loop_
_atom_site_label
_atom_site_fract_x
_atom_site_fract_y
_atom_site_fract_z
_atom_site_occupancy
Li1 0.000 0.000 0.000 1
Mn1 0.500 0.500 0.500 1
Cu1 0.000 0.500 0.500 1
```

Computed, not measured: a geometry-optimized CsNaTe4As2 structure at the PBE-GGA level of DFT.

Output
As for the density of states at the Fermi level: 2.27 states/eV/f.u. The value obtained for the density is 4.27 g/cm3. For the energy relative to the elements, uncorrected, the calculation gives -0.2867 eV per atom. As for the crystal system: orthorhombic. For the size of the total moment, the calculation gives 0.00 μB/f.u.

Structure (CIF):
```
data_CsNaTe4As2
_space_group_name_H-M_alt 'I 2 2 2'
_space_group_IT_number 23
_cell_length_a 6.067
_cell_length_b 9.403
_cell_length_c 11.113
_cell_angle_alpha 90.00
_cell_angle_beta 90.00
_cell_angle_gamma 90.00
loop_
_space_group_symop_operation_xyz
'x,y,z'
'-x,-y,z'
'x,-y,-z'
'-x,y,-z'
'x+1/2,y+1/2,z+1/2'
'-x+1/2,-y+1/2,z+1/2'
'x+1/2,-y+1/2,-z+1/2'
'-x+1/2,y+1/2,-z+1/2'
loop_
_atom_site_label
_atom_site_fract_x
_atom_site_fract_y
_atom_site_fract_z
_atom_site_occupancy
Cs1 0.000 0.000 0.000 1
Na1 0.000 0.000 0.500 1
Te1 0.035 0.271 0.270 1
As1 0.000 0.500 0.136 1
```